This record from Alexandria via LeMat-Bulk describes Dy2Cu3Ni2 after structural relaxation. The functional is GGA-PBE.

Geometry as extended XYZ:
```
14
Lattice="9.636 0.000 0.000 0.000 4.081 0.000 -2.307 0.000 5.835" Properties=species:S:1:pos:R:3 pbc="T T T"
Dy 0.824 0.000 1.456
Dy 1.686 2.040 4.379
Dy 5.642 2.040 1.456
Dy 6.504 0.000 4.379
Cu -1.154 2.040 2.917
Cu -0.332 0.000 4.211
Cu 2.842 2.040 1.624
Cu 3.664 0.000 2.917
Cu 4.486 2.040 4.211
Cu 7.660 0.000 1.624
Ni -1.091 2.040 5.433
Ni 3.601 0.000 0.402
Ni 3.727 0.000 5.433
Ni 8.419 2.040 0.402
```

Computed properties:
E_form, eV/atom: -0.277
Final energy, eV/atom: -4.999
Magnetization, μB per cell: 0.0
Density of states at the Fermi level, states/eV/f.u.: 3.9

***

This record from Alexandria via LeMat-Bulk describes LaMnHg2 after structural relaxation. The functional is GGA-PBE.

Geometry as extended XYZ:
```
4
Lattice="4.647 0.000 0.000 0.000 4.647 0.000 0.000 0.000 4.648" Properties=species:S:1:pos:R:3 pbc="T T T"
La 0.000 0.000 0.000
Mn 2.323 2.323 0.000
Hg 0.000 2.323 2.324
Hg 2.323 0.000 2.324
```

Computed properties:
E_form, eV/atom: 0.008
Final energy, eV/atom: -3.667
Magnetization, μB per cell: 3.5
Density of states at the Fermi level, states/eV/f.u.: 3.5

***

This record from Alexandria via LeMat-Bulk describes Sr2ErAgO5 after structural relaxation. The functional is GGA-PBE.

Geometry as extended XYZ:
```
18
Lattice="1.748 -6.844 0.000 1.748 6.844 0.000 0.000 0.000 11.448" Properties=species:S:1:pos:R:3 pbc="T T T"
Sr 1.748 5.591 5.724
Sr 1.748 4.858 1.302
Sr 1.748 -4.858 7.026
Sr 1.748 -5.591 0.000
Er 1.748 3.920 9.645
Er 1.748 -3.920 3.921
Ag 1.748 0.355 3.061
Ag 1.748 -0.355 8.785
O 1.748 5.988 10.246
O 1.748 3.180 5.378
O 1.748 2.403 2.468
O 1.748 1.691 9.237
O 1.748 0.188 6.794
O 1.748 -0.188 1.070
O 1.748 -1.691 3.512
O 1.748 -2.403 8.193
O 1.748 -3.180 11.102
O 1.748 -5.988 4.521
```

Computed properties:
Formation energy (no corrections), meV/atom: -2176
Final energy, eV/atom: -6.128
Magnetization, μB per cell: 0.0
Density of states at the Fermi level, states/eV/f.u.: 1.1

***

This record from Alexandria via LeMat-Bulk describes RbNiAuSe2 after structural relaxation. The functional is GGA-PBE.

Geometry as extended XYZ:
```
5
Lattice="5.929 0.000 0.000 0.000 5.929 0.000 0.000 0.000 4.759" Properties=species:S:1:pos:R:3 pbc="T T T"
Rb 0.000 0.000 0.000
Ni 0.000 0.000 2.379
Au 2.964 2.964 2.379
Se 0.000 2.964 0.000
Se 2.964 0.000 0.000
```

Computed properties:
Formation energy (no corrections), meV/atom: 1589
Final energy, eV/atom: -1.810
Magnetization, μB per cell: 2.1
Density of states at the Fermi level, states/eV/f.u.: 3.4

***

This record from Alexandria via LeMat-Bulk describes FePdS2N after structural relaxation. The functional is GGA-PBE.

Geometry as extended XYZ:
```
5
Lattice="4.870 0.000 0.000 0.000 4.870 0.000 0.000 0.000 3.685" Properties=species:S:1:pos:R:3 pbc="T T T"
Fe 0.000 0.000 0.000
Pd 2.435 2.435 1.843
S 0.000 2.435 1.843
S 2.435 0.000 1.843
N 2.435 2.435 0.000
```

Computed properties:
Formation energy (no corrections), meV/atom: 1077
Final energy, eV/atom: -4.970
Magnetization, μB per cell: 4.5
Density of states at the Fermi level, states/eV/f.u.: 6.8

***

This record from Alexandria via LeMat-Bulk describes Sc4GaGe2 after structural relaxation. The functional is GGA-PBE.

Geometry as extended XYZ:
```
14
Lattice="13.457 0.000 0.000 0.000 3.909 0.000 -3.457 0.000 6.104" Properties=species:S:1:pos:R:3 pbc="T T T"
Sc 0.519 0.000 2.024
Sc -0.930 1.954 4.777
Sc 4.201 0.000 1.327
Sc 2.752 1.954 4.080
Sc 7.248 1.954 2.024
Sc 5.798 0.000 4.777
Sc 10.930 1.954 1.327
Sc 9.480 0.000 4.080
Ga 0.000 1.954 0.000
Ga 6.728 0.000 0.000
Ge 2.367 1.954 1.421
Ge 0.904 0.000 4.683
Ge 9.096 0.000 1.421
Ge 7.632 1.954 4.683
```

Computed properties:
E_form, eV/atom: -0.464
Final energy, eV/atom: -5.834
Magnetization, μB per cell: 0.0
Density of states at the Fermi level, states/eV/f.u.: 6.1

***

This record from Alexandria via LeMat-Bulk describes MgIrO2 after structural relaxation. The functional is GGA-PBE.

Geometry as extended XYZ:
```
12
Lattice="2.860 0.000 0.000 -1.430 2.476 0.000 0.000 0.000 18.470" Properties=species:S:1:pos:R:3 pbc="T T T"
Mg 0.000 0.000 0.000
Mg 0.000 1.651 12.314
Mg 1.430 0.825 6.157
Ir 0.000 0.000 9.235
Ir 0.000 1.651 3.078
Ir 1.430 0.825 15.392
O 0.000 0.000 7.319
O 0.000 0.000 11.151
O 0.000 1.651 1.162
O 0.000 1.651 4.994
O 1.430 0.825 13.476
O 1.430 0.825 17.308
```

Computed properties:
Formation energy (no corrections), meV/atom: -1425
Final energy, eV/atom: -6.518
Magnetization, μB per cell: 0.0
Density of states at the Fermi level, states/eV/f.u.: 3.2

***

This record from Alexandria via LeMat-Bulk describes Li3U2RhSe6 after structural relaxation. The functional is GGA-PBE.

Geometry as extended XYZ:
```
12
Lattice="3.336 -5.773 0.000 3.336 5.773 0.000 -2.211 0.000 6.651" Properties=species:S:1:pos:R:3 pbc="T T T"
Li 0.000 0.000 0.000
Li 3.336 1.910 0.000
Li 3.336 -1.910 0.000
U 2.231 3.839 3.325
U 2.231 -3.839 3.325
Rh 2.231 0.000 3.325
Se 1.176 1.817 1.637
Se 0.132 0.000 4.982
Se 1.176 -1.817 1.637
Se 3.285 1.817 5.014
Se 4.330 0.000 1.669
Se 3.285 -1.817 5.014
```

Computed properties:
Formation energy (no corrections), meV/atom: -1019
Final energy, eV/atom: -5.734
Magnetization, μB per cell: 6.0
Density of states at the Fermi level, states/eV/f.u.: 13.0

***

This record from Alexandria via LeMat-Bulk describes ZrCoRhW2 after structural relaxation. The functional is GGA-PBE.

Geometry as extended XYZ:
```
5
Lattice="4.764 0.000 0.000 0.000 4.764 0.000 0.000 0.000 4.384" Properties=species:S:1:pos:R:3 pbc="T T T"
Zr 0.000 0.000 0.000
Co 0.000 0.000 2.192
Rh 2.382 2.382 2.192
W 0.000 2.382 0.000
W 2.382 0.000 0.000
```

Computed properties:
E_form, eV/atom: 2.347
Final energy, eV/atom: -7.436
Magnetization, μB per cell: 1.1
Density of states at the Fermi level, states/eV/f.u.: 8.2

***

This record from Alexandria via LeMat-Bulk describes BaLiThS3 after structural relaxation. The functional is GGA-PBE.

Geometry as extended XYZ:
```
12
Lattice="8.763 0.000 0.000 0.000 4.117 0.000 -2.311 0.000 8.660" Properties=species:S:1:pos:R:3 pbc="T T T"
Ba 1.124 1.029 2.065
Ba 5.329 3.088 6.595
Li -0.643 1.029 5.119
Li 7.096 3.088 3.541
Th 1.008 3.088 7.346
Th 5.445 1.029 1.314
S -0.999 1.029 7.492
S 0.519 3.088 4.575
S 3.483 3.088 1.565
S 2.969 1.029 7.095
S 5.933 1.029 4.085
S 7.451 3.088 1.168
```

Computed properties:
Formation energy (no corrections), meV/atom: -1794
Final energy, eV/atom: -5.734
Magnetization, μB per cell: 0.8
Density of states at the Fermi level, states/eV/f.u.: 2.1

***

This record from Alexandria via LeMat-Bulk describes YTaTiO6 after structural relaxation. The functional is GGA-PBE.

Geometry as extended XYZ:
```
18
Lattice="5.208 0.000 0.000 -2.604 4.511 0.000 0.000 0.000 9.789" Properties=species:S:1:pos:R:3 pbc="T T T"
Y 0.000 0.000 0.000
Y 0.000 0.000 4.894
Ta 0.000 3.007 2.447
Ta 2.604 1.504 7.342
Ti 0.000 3.007 7.342
Ti 2.604 1.504 2.447
O -0.926 1.630 6.261
O -1.655 2.894 8.422
O 0.926 1.630 8.422
O -0.730 4.497 6.261
O 1.874 0.013 1.367
O 0.949 1.617 3.527
O 1.655 2.894 6.261
O 0.730 4.497 8.422
O 3.334 0.013 3.527
O 1.679 2.881 1.367
O 4.260 1.617 1.367
O 3.530 2.881 3.527
```

Computed properties:
Formation energy (no corrections), meV/atom: -3157
Final energy, eV/atom: -9.375
Magnetization, μB per cell: 0.0
Density of states at the Fermi level, states/eV/f.u.: 0.0

***

This record from Alexandria via LeMat-Bulk describes La2AgTe after structural relaxation. The functional is GGA-PBE.

Geometry as extended XYZ:
```
8
Lattice="4.859 0.000 0.000 0.000 4.214 0.000 0.000 0.000 12.046" Properties=species:S:1:pos:R:3 pbc="T T T"
La 0.000 0.000 0.000
La 0.000 2.107 6.023
La 2.430 0.000 3.150
La 2.430 2.107 9.173
Ag 2.430 0.000 6.285
Ag 2.430 2.107 0.262
Te 0.000 0.000 8.746
Te 0.000 2.107 2.723
```

Computed properties:
Formation energy (no corrections), meV/atom: -810
Final energy, eV/atom: -4.772
Magnetization, μB per cell: 0.0
Density of states at the Fermi level, states/eV/f.u.: 5.5